{
  "formula": "CoSe2BrF",
  "functional": "PBE with a Hubbard U",
  "state": "optimized geometry",
  "e_tot_ev_per_atom": -2.682,
  "magnetic_moment_mub_per_fu": 2.58,
  "e_above_lowest_polymorph_mev_per_atom": 153,
  "lattice": [[4.2672, 0.0000, 0.0000], [0.0000, 4.2672, 0.0000], [0.0000, 0.0000, 6.5984]],
  "species": ["Co", "Se", "Se", "F", "Br"],
  "fractional_positions": [[0.5000, 0.5000, 0.5000], [0.0000, 0.5000, 0.0000], [0.5000, 0.0000, 0.0000], [0.0000, 0.0000, 0.0000], [0.0000, 0.0000, 0.5000]]
}